The following is a GGA-PBEsol calculation of crystalline Na5S3ClO12 at its relaxed geometry, from the Alexandria database.

**Crystal system**: hexagonal
**Raw formation energy**: -1.5852 eV per atom
**Uncorrected energy**: -118.440 eV per formula unit
**Space-group type**: P6_3/m (176)

Cell lengths 6.7318, 9.7245, 9.7245 Å; angles 120.00, 90.00, 90.00 degrees
Last column: nearest neighbours and their distance in Å.
Fractional positions:
Na: 0.5089 0.3333 0.6667  6 O 2.42-2.52
Na: 0.4911 0.6667 0.3333  6 O 2.42-2.52
Na: 0.0089 0.6667 0.3333  6 O 2.42-2.52
Na: 0.9911 0.3333 0.6667  6 O 2.42-2.52
Na: 0.2500 0.7403 0.7469  5 O 2.34-2.56
Na: 0.7500 0.2597 0.2531  5 O 2.34-2.56
Na: 0.2500 0.0066 0.2597  5 O 2.34-2.56
Na: 0.7500 0.9934 0.7403  5 O 2.34-2.56
Na: 0.2500 0.2531 0.9934  5 O 2.34-2.56
Na: 0.7500 0.7469 0.0066  5 O 2.34-2.56
S: 0.2500 0.5970 0.9724  4 O 1.47-1.49
S: 0.7500 0.4030 0.0276  4 O 1.47-1.49
S: 0.2500 0.3753 0.4030  4 O 1.47-1.49
S: 0.7500 0.6247 0.5970  4 O 1.47-1.49
S: 0.2500 0.0276 0.6247  4 O 1.47-1.49
S: 0.7500 0.9724 0.3753  4 O 1.47-1.49
Cl: 0.5000 0.0000 0.0000  6 Na 3.01, 6 O 3.13, 2 Cl 3.37
Cl: 0.0000 0.0000 0.0000  6 Na 3.01, 6 O 3.13, 2 Cl 3.37
O: 0.2500 0.4198 0.8818  1 S 1.49
O: 0.7500 0.5802 0.1182  1 S 1.49
O: 0.2500 0.4619 0.5802  1 S 1.49
O: 0.7500 0.5381 0.4198  1 S 1.49
O: 0.2500 0.1182 0.5381  1 S 1.49
O: 0.7500 0.8818 0.4619  1 S 1.49
O: 0.2500 0.8555 0.5140  1 S 1.47
O: 0.7500 0.1445 0.4860  1 S 1.47
O: 0.2500 0.6585 0.1445  1 S 1.47
O: 0.7500 0.3415 0.8555  1 S 1.47
O: 0.2500 0.4860 0.3415  1 S 1.47
O: 0.7500 0.5140 0.6585  1 S 1.47
O: 0.4283 0.6501 0.9212  1 S 1.49
O: 0.5717 0.3499 0.0788  1 S 1.49
O: 0.4283 0.2711 0.3499  1 S 1.49
O: 0.9283 0.3499 0.0788  1 S 1.49
O: 0.5717 0.7289 0.6501  1 S 1.49
O: 0.0717 0.6501 0.9212  1 S 1.49
O: 0.4283 0.0788 0.7289  1 S 1.49
O: 0.9283 0.7289 0.6501  1 S 1.49
O: 0.5717 0.9212 0.2711  1 S 1.49
O: 0.0717 0.2711 0.3499  1 S 1.49
O: 0.9283 0.9212 0.2711  1 S 1.49
O: 0.0717 0.0788 0.7289  1 S 1.49

=====

The following is a GGA-PBEsol calculation of crystalline NaOsCl3 at its relaxed geometry, from the Alexandria database.

**Crystal system**: cubic
**Raw formation energy**: -0.3075 eV per atom
**Uncorrected energy**: -21.177 eV per formula unit
**Space-group type**: Pm-3m (221)

Cell lengths 4.7734, 4.7734, 4.7734 Å; angles 90.00, 90.00, 90.00 degrees
Last column: nearest neighbours and their distance in Å.
Fractional positions:
Na: 0.5000 0.5000 0.5000  12 Cl 3.38
Os: 0.0000 0.0000 0.0000  6 Cl 2.39
Cl: 0.0000 0.5000 0.0000  2 Os 2.39
Cl: 0.0000 0.0000 0.5000  2 Os 2.39
Cl: 0.5000 0.0000 0.0000  2 Os 2.39

=====

The following is a GGA-PBEsol calculation of crystalline Na3OsCl at its relaxed geometry, from the Alexandria database.

**Crystal system**: cubic
**Raw formation energy**: 0.9151 eV per atom
**Uncorrected energy**: -13.848 eV per formula unit
**Space-group type**: Pm-3m (221)

Cell lengths 5.6071, 5.6071, 5.6071 Å; angles 90.00, 90.00, 90.00 degrees
Last column: nearest neighbours and their distance in Å.
Fractional positions:
Na: 0.0000 0.5000 0.0000  2 Os 2.80
Na: 0.0000 0.0000 0.5000  2 Os 2.80
Na: 0.5000 0.0000 0.0000  2 Os 2.80
Os: 0.0000 0.0000 0.0000  6 Na 2.80
Cl: 0.5000 0.5000 0.5000  12 Na 3.96

=====

Please write out number 3 again, unchanged.
The following is a GGA-PBEsol calculation of crystalline Na3OsCl at its relaxed geometry, from the Alexandria database.

**Crystal system**: cubic
**Raw formation energy**: 0.9151 eV per atom
**Uncorrected energy**: -13.848 eV per formula unit
**Space-group type**: Pm-3m (221)

Cell lengths 5.6071, 5.6071, 5.6071 Å; angles 90.00, 90.00, 90.00 degrees
Last column: nearest neighbours and their distance in Å.
Fractional positions:
Na: 0.0000 0.5000 0.0000  2 Os 2.80
Na: 0.0000 0.0000 0.5000  2 Os 2.80
Na: 0.5000 0.0000 0.0000  2 Os 2.80
Os: 0.0000 0.0000 0.0000  6 Na 2.80
Cl: 0.5000 0.5000 0.5000  12 Na 3.96